Entry 1:
Here is crystalline Ni2OsRhW at its relaxed geometry from the Alexandria database. Energies are from GGA-PBE.

Output
Energy of formation ... 1.9757 eV per atom

abc: 4.3668 4.3668 4.6242
angles: 90.00 90.00 90.00
Space group P4/mmm (No. 123)
Asymmetric unit:
Ni 0.0000 0.5000 0.0000 [2 per cell]
Os 0.0000 0.0000 0.5000 [1 per cell]
Rh 0.0000 0.0000 0.0000 [1 per cell]
W 0.5000 0.5000 0.5000 [1 per cell]

Entry 2:
Here is crystalline NiOsRhW at its relaxed geometry from the Alexandria database. Energies are from GGA-PBE.

Output
Energy of formation ... 0.0771 eV per atom

abc: 6.0910 6.0910 6.0910
angles: 90.00 90.00 90.00
Space group F-43m (No. 216)
Asymmetric unit:
Ni 0.0000 0.0000 0.0000 [4 per cell]
Os 0.2500 0.2500 0.7500 [4 per cell]
Rh 0.2500 0.2500 0.2500 [4 per cell]
W 0.0000 0.0000 0.5000 [4 per cell]

Entry 3:
Here is crystalline NiOs2Ru at its relaxed geometry from the Alexandria database. Energies are from GGA-PBE.

Output
Energy above the lowest structure with this stoichiometry ... 0.052 eV per atom
Energy of formation ... 0.1893 eV per atom

abc: 3.7648 3.7648 7.6231
angles: 90.00 90.00 90.00
Space group I-4m2 (No. 119)
Asymmetric unit:
Ni 0.0000 0.0000 0.0000 [2 per cell]
Os 0.0000 0.0000 0.5000 [2 per cell]
Os 0.0000 0.5000 0.7500 [2 per cell]
Ru 0.0000 0.5000 0.2500 [2 per cell]

Entry 4:
Here is crystalline NiOs2Ru at its relaxed geometry from the Alexandria database. Energies are from GGA-PBE.

Output
Energy above the lowest structure with this stoichiometry ... 0.429 eV per atom
Energy of formation ... 0.5666 eV per atom

abc: 6.0449 6.0449 6.0449
angles: 90.00 90.00 90.00
Space group Fm-3m (No. 225)
Asymmetric unit:
Ni 0.0000 0.0000 0.0000 [4 per cell]
Os 0.2500 0.2500 0.2500 [8 per cell]
Ru 0.0000 0.0000 0.5000 [4 per cell]

Entry 5:
Here is crystalline NiOsRu4 at its relaxed geometry from the Alexandria database. Energies are from GGA-PBE.

Output
Energy of formation ... 0.7298 eV per atom

abc: 7.0596 7.0596 7.0596
angles: 90.00 90.00 90.00
Space group F-43m (No. 216)
Asymmetric unit:
Ni 0.0000 0.0000 0.0000 [4 per cell]
Os 0.2500 0.2500 0.7500 [4 per cell]
Ru 0.1253 0.1253 0.3747 [16 per cell]

Entry 6:
Here is crystalline NiOsRu at its relaxed geometry from the Alexandria database. Energies are from GGA-PBE.

Output
Energy above the lowest structure with this stoichiometry ... 0.019 eV per atom
Energy of formation ... 0.0633 eV per atom

abc: 4.5726 7.9018 4.5692
angles: 90.00 107.30 90.00
Space group C2/c (No. 15)
Asymmetric unit:
Ni 0.0000 0.2490 0.2500 [4 per cell]
Os 0.0000 0.4194 0.7500 [4 per cell]
Ru 0.0000 0.0844 0.7500 [4 per cell]

Entry 7:
Here is crystalline NiOsRu at its relaxed geometry from the Alexandria database. Energies are from GGA-PBE.

Output
Energy above the lowest structure with this stoichiometry ... 0.223 eV per atom
Energy of formation ... 0.2671 eV per atom

abc: 2.6795 4.3327 7.0108
angles: 90.00 90.00 90.00
Space group Imm2 (No. 44)
Asymmetric unit:
Ni 0.0000 0.0000 0.0000 [2 per cell]
Os 0.0000 0.5000 0.8134 [2 per cell]
Ru 0.0000 0.5000 0.1827 [2 per cell]

Entry 8:
Here is crystalline Ni2OsRu at its relaxed geometry from the Alexandria database. Energies are from GGA-PBE.

Output
Energy above the lowest structure with this stoichiometry ... 0.001 eV per atom
Energy of formation ... 0.0750 eV per atom

abc: 3.6809 5.2253 5.2473
angles: 90.00 90.00 90.00
Space group Pmmm (No. 47)
Asymmetric unit:
Ni 0.0000 0.0000 0.2420 [2 per cell]
Ni 0.5000 0.2466 0.0000 [2 per cell]
Os 0.0000 0.5000 0.2429 [2 per cell]
Ru 0.5000 0.2443 0.5000 [2 per cell]

Entry 9:
Here is crystalline NiOsRu at its relaxed geometry from the Alexandria database. Energies are from GGA-PBE.

Output
Energy above the lowest structure with this stoichiometry ... 0.017 eV per atom
Energy of formation ... 0.0614 eV per atom

abc: 2.7038 3.6951 7.8835
angles: 90.00 90.00 90.00
Space group Imm2 (No. 44)
Asymmetric unit:
Ni 0.0000 0.0000 0.0000 [2 per cell]
Os 0.0000 0.0000 0.3342 [2 per cell]
Ru 0.0000 0.0000 0.6693 [2 per cell]

Entry 10:
Here is crystalline NiOsRu at its relaxed geometry from the Alexandria database. Energies are from GGA-PBE.

Output
Energy above the lowest structure with this stoichiometry ... 0.005 eV per atom
Energy of formation ... 0.0494 eV per atom

abc: 7.9658 4.5983 5.1284
angles: 90.00 123.12 90.00
Space group C2 (No. 5)
Asymmetric unit:
Ni 0.0000 0.0000 0.0000 [2 per cell]
Ni 0.0000 0.1688 0.5000 [2 per cell]
Os 0.1699 0.4969 0.0018 [4 per cell]
Ru 0.1682 0.6685 0.4992 [4 per cell]

Entry 11:
Here is crystalline NiOsRu at its relaxed geometry from the Alexandria database. Energies are from GGA-PBE.

Output
Energy above the lowest structure with this stoichiometry ... 0.161 eV per atom
Energy of formation ... 0.2050 eV per atom

abc: 4.1695 4.1695 2.6492
angles: 90.00 90.00 120.00
Space group P-6m2 (No. 187)
Asymmetric unit:
Ni 0.0000 0.0000 0.0000 [1 per cell]
Os 0.3333 0.6667 0.0000 [1 per cell]
Ru 0.6667 0.3333 0.5000 [1 per cell]

Entry 12:
Here is crystalline NiOsRu at its relaxed geometry from the Alexandria database. Energies are from GGA-PBE.

Output
Energy above the lowest structure with this stoichiometry ... 0.435 eV per atom
Energy of formation ... 0.4796 eV per atom

abc: 2.7382 4.5044 13.3152
angles: 90.00 90.00 90.00
Space group Fmm2 (No. 42)
Asymmetric unit:
Ni 0.0000 0.0000 0.0000 [4 per cell]
Os 0.0000 0.0000 0.6634 [4 per cell]
Ru 0.0000 0.0000 0.3348 [4 per cell]

Entry 13:
Here is crystalline NiOs2Ru at its relaxed geometry from the Alexandria database. Energies are from GGA-PBE.

Output
Energy above the lowest structure with this stoichiometry ... 0.024 eV per atom
Energy of formation ... 0.1617 eV per atom

abc: 8.8584 2.6944 4.6182
angles: 90.00 99.85 90.00
Space group C2/m (No. 12)
Asymmetric unit:
Ni 0.0000 0.0000 0.0000 [2 per cell]
Os 0.2478 0.0000 0.7535 [4 per cell]
Ru 0.0000 0.5000 0.5000 [2 per cell]

Entry 14:
Here is crystalline NiOsRu at its relaxed geometry from the Alexandria database. Energies are from GGA-PBE.

Output
Energy above the lowest structure with this stoichiometry ... 0.003 eV per atom
Energy of formation ... 0.0475 eV per atom

abc: 4.5962 4.5974 5.0047
angles: 62.82 64.32 60.11
Space group P-1 (No. 2)
Asymmetric unit:
Ni 0.2505 0.0837 0.2504 [2 per cell]
Os 0.0882 0.2448 0.7502 [2 per cell]
Ru 0.4118 0.5832 0.7500 [2 per cell]